Cs2AsPPt | Alexandria | PBEsol | relaxed; energy relative to the elements = 0.068 eV per atom; N(E_F) = 4.8 states/eV per cell
1.0
4.3052 0.0000 0.0000
0.0000 6.7639 0.0000
0.0000 0.0000 6.7639
Pt Cs As P
1 2 1 1
direct
0.0000 0.0000 0.0000
0.0000 0.5000 0.0000
0.0000 0.0000 0.5000
0.5000 0.5000 0.5000
0.5000 0.0000 0.0000

Cs5AsP4Se12 | Alexandria | PBEsol | relaxed; formation energy without anion corrections = -0.63 eV/atom
1.0
7.4915 0.0000 0.0000
0.0000 13.8519 0.0000
0.0000 0.0000 13.8519
Se Cs P As
24 10 8 2
direct
0.2638 0.8548 0.4719
0.0000 0.6335 0.6475
0.2554 0.8482 0.1776
0.7362 0.8548 0.4719
0.7446 0.8482 0.1776
0.0000 0.6909 0.0370
0.2446 0.1776 0.1518
0.5000 0.0370 0.3091
0.5000 0.3525 0.6335
0.2362 0.4719 0.1452
0.2446 0.8224 0.8482
0.0000 0.3091 0.9630
0.7638 0.5281 0.8548
0.7362 0.1452 0.5281
0.5000 0.6475 0.3665
0.7446 0.1518 0.8224
0.7554 0.8224 0.8482
0.2362 0.5281 0.8548
0.7638 0.4719 0.1452
0.5000 0.9630 0.6909
0.2554 0.1518 0.8224
0.7554 0.1776 0.1518
0.2638 0.1452 0.5281
0.0000 0.3665 0.3525
0.5000 0.6841 0.6585
0.0000 0.0000 0.0000
0.5000 0.6801 0.0303
0.0000 0.9697 0.6801
0.5000 0.0000 0.0000
0.5000 0.3159 0.3415
0.5000 0.3199 0.9697
0.0000 0.3415 0.6841
0.0000 0.6585 0.3159
0.0000 0.0303 0.3199
0.5000 0.2009 0.6080
0.5000 0.8864 0.2533
0.0000 0.2533 0.1136
0.0000 0.7467 0.8864
0.5000 0.7991 0.3920
0.5000 0.1136 0.7467
0.0000 0.3920 0.2009
0.0000 0.6080 0.7991
0.0000 0.5000 0.0000
0.5000 0.0000 0.5000

Cs2YAsP | Alexandria | PBEsol | relaxed; energy relative to the elements = 0.545 eV per atom; N(E_F) = 6.1 states/eV per cell
1.0
4.5522 0.0000 0.0000
0.0000 6.9046 0.0000
0.0000 0.0000 6.9046
Y Cs As P
1 2 1 1
direct
0.5000 0.5000 0.5000
0.0000 0.0000 0.5000
0.0000 0.5000 0.0000
0.5000 0.0000 0.0000
0.0000 0.0000 0.0000

Cs2AsPd | Alexandria | PBEsol | relaxed; energy relative to the elements = -0.243 eV per atom; N(E_F) = 4.1 states/eV per cell
1.0
4.6652 0.0000 0.0000
2.3326 8.9002 0.0000
2.3326 0.0000 8.9002
As Pd Cs
2 2 4
direct
0.5000 0.0000 0.0000
0.2500 0.5000 0.5000
0.0000 0.0000 0.0000
0.7500 0.5000 0.5000
0.3750 0.6662 0.8338
0.9588 0.1662 0.6662
0.8750 0.3338 0.1662
0.7912 0.8338 0.3338

no.,calculated volume (Å³ per cell),raw total energy (eV/atom),magnetization (μB/cell)
1,197,-3.881,1.668
2,1437,-4.227,0.000
3,217,-3.376,1.662
4,370,-3.481,0.001